A crystal of Li2TaP relaxed with PBEsol, computed with SCAN.

* crystal system: tetragonal
* ΔE_f: 22.3 kJ/mol of formula units
* VASP energy: -81.53 eV/cell

a b c (Å): 2.622 2.622 8.731
angles (deg): 90.00 90.00 90.00
Sites, in units of the cell vectors:
Li1 0.000 0.000 0.212
Li2 0.000 0.000 0.788
P1 0.500 0.500 0.000
Ta1 0.500 0.500 0.500

***

A crystal of KTa2Se relaxed with PBEsol, computed with SCAN.

* crystal system: cubic
* raw formation energy: 1.063 eV per atom
* VASP energy: -157.32 eV/cell

a b c (Å): 4.815 4.815 4.815
angles (deg): 60.00 60.00 60.00
Sites, in units of the cell vectors:
Se1 0.250 0.250 0.250
Ta1 0.000 0.000 0.000
Ta2 0.750 0.750 0.750
K1 0.500 0.500 0.500

***

A crystal of Li3InO relaxed with PBEsol, computed with SCAN.

* crystal system: cubic
* raw formation energy: -0.996 eV per atom
* VASP energy: -51.77 eV/cell

a b c (Å): 4.041 4.041 4.041
angles (deg): 90.00 90.00 90.00
Sites, in units of the cell vectors:
Li1 0.000 0.500 0.000
Li2 0.500 0.000 0.000
Li3 0.000 0.000 0.500
O1 0.000 0.000 0.000
In1 0.500 0.500 0.500

***

A crystal of RePt2Pb relaxed with PBEsol, computed with SCAN.

* crystal system: trigonal
* ΔE_f: 202.7 kJ/mol of formula units
* VASP energy: -285.16 eV/cell

a b c (Å): 2.918 2.918 9.469
angles (deg): 81.14 81.14 60.00
Sites, in units of the cell vectors:
Pt1 0.753 0.753 0.742
Pt2 0.006 0.006 0.983
Pb1 0.250 0.250 0.249
Re1 0.491 0.491 0.526

***

A crystal of ReAgRh2 relaxed with PBEsol, computed with SCAN.

* crystal system: tetragonal
* ΔE_f: 105.8 kJ/mol of formula units
* VASP energy: -168.91 eV/cell

a b c (Å): 3.893 3.893 4.657
angles (deg): 114.71 114.71 90.00
Sites, in units of the cell vectors:
Ag1 0.000 0.000 0.000
Rh1 0.750 0.250 0.500
Rh2 0.250 0.750 0.500
Re1 0.500 0.500 0.000

***

A crystal of EuZrF6 relaxed with PBEsol, computed with SCAN.

* crystal system: orthorhombic
* raw formation energy: -4.058 eV per atom
* VASP energy: -276.23 eV/cell

a b c (Å): 5.315 6.608 6.608
angles (deg): 110.76 90.00 90.00
Last column: magnetic moment on the atom in μB.
Sites, in units of the cell vectors:
F1 0.154 0.078 0.922  -0.01
F2 0.736 0.183 0.440  -0.01
F3 0.736 0.560 0.817  -0.01
F4 0.736 0.317 0.060  -0.01
F5 0.154 0.422 0.578  -0.01
F6 0.264 0.817 0.560  -0.01
F7 0.264 0.683 0.940  -0.01
F8 0.264 0.440 0.183  -0.01
F9 0.846 0.922 0.078  -0.01
F10 0.264 0.060 0.317  -0.01
F11 0.846 0.578 0.422  -0.01
F12 0.736 0.940 0.683  -0.01
Zr1 0.000 0.250 0.250  0.03
Zr2 0.000 0.750 0.750  0.03
Eu1 0.458 0.250 0.750  6.88
Eu2 0.542 0.750 0.250  6.88

***

A crystal of ReMo2N2 relaxed with PBEsol, computed with SCAN.

* crystal system: tetragonal
* raw formation energy: 0.323 eV per atom
* VASP energy: -157.83 eV/cell

a b c (Å): 3.178 3.178 6.263
angles (deg): 104.70 104.70 90.00
Sites, in units of the cell vectors:
N1 0.250 0.750 0.500
N2 0.750 0.250 0.500
Re1 0.000 0.000 0.000
Mo1 0.642 0.642 0.284
Mo2 0.358 0.358 0.716

***

A crystal of LaTa3Ti relaxed with PBEsol, computed with SCAN.

* crystal system: cubic
* ΔE_f: 544.9 kJ/mol of formula units
* VASP energy: -253.24 eV/cell

a b c (Å): 4.810 4.810 4.810
angles (deg): 90.00 90.00 90.00
Sites, in units of the cell vectors:
Ta1 0.000 0.500 0.000
Ta2 0.000 0.000 0.500
Ta3 0.500 0.000 0.000
Ti1 0.000 0.000 0.000
La1 0.500 0.500 0.500